# 1
This record from Alexandria describes a relaxed structure of Ba4NbO7. The functional is PBE.

POSCAR file:
```
Ba4NbO7
1.0
7.1604 -2.0310 0.0000
7.1604 2.0310 0.0000
-6.8748 0.0000 8.1931
Ba Nb O
4 1 7
Direct
0.1025 0.1025 0.3601 Ba
0.3101 0.3101 0.2072 Ba
0.6899 0.6899 0.7928 Ba
0.8975 0.8975 0.6399 Ba
0.5000 0.5000 0.0000 Nb
0.0000 0.0000 0.0000 O
0.1210 0.1210 0.8745 O
0.3469 0.3469 0.7806 O
0.4314 0.4314 0.5313 O
0.5686 0.5686 0.4687 O
0.6531 0.6531 0.2194 O
0.8790 0.8790 0.1255 O
```

Computed properties:
Final energy = -6.501 eV per atom
Space-group type = C2/m
Energy relative to the elements, uncorrected = -2.129 eV/atom

# 2
This record from Alexandria describes a relaxed structure of Ba4Nb2O9. The functional is PBE.

POSCAR file:
```
Ba4Nb2O9
1.0
6.0285 0.0000 0.0000
-3.0142 5.2208 0.0000
0.0000 0.0000 8.4574
Ba Nb O
4 2 9
Direct
0.0000 0.0000 0.0000 Ba
0.0000 0.0000 0.5000 Ba
0.3333 0.6667 0.2516 Ba
0.6667 0.3333 0.7484 Ba
0.3333 0.6667 0.6642 Nb
0.6667 0.3333 0.3358 Nb
0.0000 0.5000 0.5000 O
0.1744 0.3489 0.7757 O
0.1744 0.8256 0.7757 O
0.3489 0.1744 0.2243 O
0.5000 0.0000 0.5000 O
0.5000 0.5000 0.5000 O
0.6511 0.8256 0.7757 O
0.8256 0.1744 0.2243 O
0.8256 0.6511 0.2243 O
```

Computed properties:
Final energy = -7.601 eV per atom
Space-group type = P-3m1
Energy relative to the elements, uncorrected = -2.771 eV/atom